# Sr3NiH PBE relaxed
# - total energy (eV/atom) = -2.7403
# - size of the total moment (Bohr magnetons per cell) = 0.0
# - distance to the lowest polymorph of the same formula (eV/f.u.) = 0.775
data_Sr3NiH
_chemical_formula_sum 'Sr3 Ni1 H1'
_symmetry_space_group_name_H-M 'P m -3 m'
_symmetry_Int_Tables_number 221
_symmetry_space_group_name_Hall '-P 4 2 3'
_cell_length_a 5.1838
_cell_length_b 5.1838
_cell_length_c 5.1838
_cell_angle_alpha 90.00
_cell_angle_beta 90.00
_cell_angle_gamma 90.00
loop_
_atom_site_label
_atom_site_type_symbol
_atom_site_fract_x
_atom_site_fract_y
_atom_site_fract_z
Sr1 Sr 0.0000 0.0000 0.5000
Ni1 Ni 0.5000 0.5000 0.5000
H1 H 0.0000 0.0000 0.0000


# Ga2AsBr PBE relaxed
# - total energy (eV/atom) = -3.1700
# - size of the total moment (Bohr magnetons per cell) = 0.0
# - distance to the lowest polymorph of the same formula (eV/f.u.) = 0.000
data_Ga2AsBr
_chemical_formula_sum 'Ga8 As4 Br4'
_symmetry_space_group_name_H-M 'I -4 2 d'
_symmetry_Int_Tables_number 122
_symmetry_space_group_name_Hall 'I -4 2bw'
_cell_length_a 7.0555
_cell_length_b 7.0555
_cell_length_c 8.9438
_cell_angle_alpha 90.00
_cell_angle_beta 90.00
_cell_angle_gamma 90.00
loop_
_atom_site_label
_atom_site_type_symbol
_atom_site_fract_x
_atom_site_fract_y
_atom_site_fract_z
Ga1 Ga 0.2088 0.2500 0.1250
As1 As 0.0000 0.0000 0.0000
Br1 Br 0.0000 0.0000 0.5000


# Nb2PH PBE relaxed
# - total energy (eV/atom) = -7.3451
# - size of the total moment (Bohr magnetons per cell) = 0.0
# - distance to the lowest polymorph of the same formula (eV/f.u.) = 1.112
data_Nb2PH
_chemical_formula_sum 'Nb6 P3 H3'
_symmetry_space_group_name_H-M 'R -3 m'
_symmetry_Int_Tables_number 166
_symmetry_space_group_name_Hall '-R 3 2"'
_cell_length_a 3.5225
_cell_length_b 3.5225
_cell_length_c 18.5959
_cell_angle_alpha 90.00
_cell_angle_beta 90.00
_cell_angle_gamma 120.00
loop_
_atom_site_label
_atom_site_type_symbol
_atom_site_fract_x
_atom_site_fract_y
_atom_site_fract_z
Nb1 Nb 0.0000 0.0000 0.0968
P1 P 0.0000 0.0000 0.5000
H1 H 0.0000 0.0000 0.0000


# CsGaSbO4 PBE relaxed
# - total energy (eV/atom) = -5.4307
# - size of the total moment (Bohr magnetons per cell) = 0.0
data_CsGaSbO4
_chemical_formula_sum 'Cs2 Ga2 Sb2 O8'
_symmetry_space_group_name_H-M 'P 1 21/m 1'
_symmetry_Int_Tables_number 11
_symmetry_space_group_name_Hall '-P 2yb'
_cell_length_a 5.8567
_cell_length_b 6.0553
_cell_length_c 7.6471
_cell_angle_alpha 90.00
_cell_angle_beta 99.06
_cell_angle_gamma 90.00
loop_
_atom_site_label
_atom_site_type_symbol
_atom_site_fract_x
_atom_site_fract_y
_atom_site_fract_z
Cs1 Cs 0.1872 0.2500 0.0897
Ga1 Ga 0.3699 0.2500 0.6426
Sb1 Sb 0.1918 0.7500 0.4870
O1 O 0.1543 0.0189 0.6558
O2 O 0.3201 0.7500 0.2431
O3 O 0.4675 0.2500 0.4212